Material: CoWOF2
Method: DFT, PBE+U
State: optimized geometry

```
5
Lattice="-2.8432 2.4945 0.6769 0.3850 -0.5863 3.7779 2.7350 3.0640 0.1968" Properties=species:S:1:pos:R:3 pbc="T T T"
Co 0.0000 0.0000 0.0000
O 1.3675 1.5320 0.0984
W 0.1384 2.4861 2.3258
F 0.1925 -0.2932 1.8890
F -1.4216 1.2472 0.3384
```

Properties
* E above lowest polymorph: 130 meV per atom
* space-group type: P4/mmm, No. 123